Computed, not measured: crystalline In2OsBr at its relaxed geometry at the GGA-PBEsol level of DFT.

As for the total energy: -4.8705 eV per atom. The calculation puts the total magnetic moment at 0.00 μB/cell. The calculation puts the uncorrected formation energy at 0.1424 eV/atom. As for the crystal system: orthorhombic. The value obtained for the energy above the most stable polymorph in this dataset is 0.0 meV per atom. The value obtained for the calculated volume is 21.11 A^3/atom.

It has space group Pmmm (No. 47), with a = 3.250 Å, b = 3.265 Å, c = 7.955 Å, α = 90.00°, β = 90.00° and γ = 90.00°. The asymmetric unit holds In at (0.000, 0.000, 0.195), Os at (0.500, 0.500, 0.000) and Br at (0.500, 0.000, 0.500).